[1]
Material: K2Mg2Cu
Method: DFT, GGA-PBE
State: relaxed

E_form: 582 meV/atom
relative energy among the computed polymorphs: 0.2338 eV/atom

a = 8.414 Å, b = 8.414 Å, c = 5.738 Å
α = 90.00°, β = 90.00°, γ = 90.00°
Element x y z (fractional)
K 0.339 0.839 0.000
K 0.839 0.661 0.000
K 0.661 0.161 0.000
K 0.161 0.339 0.000
Mg 0.144 0.644 0.500
Mg 0.644 0.856 0.500
Mg 0.856 0.356 0.500
Mg 0.356 0.144 0.500
Cu 0.000 0.000 0.000
Cu 0.500 0.500 0.000

---

[2]
Material: KMgCu2
Method: DFT, GGA-PBE
State: relaxed

E_form: 348 meV/atom
relative energy among the computed polymorphs: 0.1204 eV/atom

a = 4.954 Å, b = 4.954 Å, c = 9.761 Å
α = 75.30°, β = 75.30°, γ = 90.00°
Element x y z (fractional)
K 0.000 0.000 0.000
K 0.750 0.250 0.500
Mg 0.500 0.500 0.000
Mg 0.250 0.750 0.500
Cu 0.375 0.125 0.250
Cu 0.375 0.625 0.250
Cu 0.375 0.625 0.750
Cu 0.875 0.625 0.750

---

[3]
Material: KMg2Cu
Method: DFT, GGA-PBE
State: relaxed

E_form: 384 meV/atom
relative energy among the computed polymorphs: 0.2433 eV/atom

a = 5.234 Å, b = 5.234 Å, c = 5.234 Å
α = 118.91°, β = 118.91°, γ = 91.89°
Element x y z (fractional)
Cu 0.500 0.500 0.000
K 0.750 0.250 0.500
Mg 0.000 0.000 0.000
Mg 0.250 0.750 0.500